Entry 1:
19
Lattice="-5.0606 5.0606 5.0606 5.0606 -5.0606 5.0606 5.0606 5.0606 -5.0606" Properties=species:S:1:pos:R:3 comment="Pm12Ru6Pb, relaxed, DFT PBE" spacegroup=Im-3 e_form_mev_per_atom=-223 magnetic_moment_mub_per_atom=0.000 pbc="T T T"
Pm 5.0606 -2.0360 3.0812
Pm 3.0246 1.9795 0.0000
Pm 7.0966 1.9795 0.0000
Pm 3.0812 5.0606 -2.0360
Pm 1.9795 0.0000 3.0246
Pm 0.0000 3.0246 1.9795
Pm 5.0606 2.0360 3.0812
Pm 3.0812 5.0606 2.0360
Pm 1.9795 0.0000 7.0966
Pm -2.0360 3.0812 5.0606
Pm 2.0360 3.0812 5.0606
Pm 0.0000 7.0966 1.9795
Ru 5.0606 0.0000 1.2249
Ru 5.0606 3.8358 0.0000
Ru 1.2249 5.0606 0.0000
Ru 3.8358 0.0000 5.0606
Ru 0.0000 1.2249 5.0606
Ru 0.0000 5.0606 3.8358
Pb 0.0000 0.0000 0.0000


Entry 2:
4
Lattice="-1.8319 2.5556 5.5048 1.8319 -2.5556 5.5048 1.8319 2.5556 -5.5048" Properties=species:S:1:pos:R:3 comment="Y2InAg, relaxed, DFT PBE" spacegroup=Imm2 e_form_mev_per_atom=-320 magnetic_moment_mub_per_atom=0.180 pbc="T T T"
Y 0.0000 0.0000 0.0000
Y 0.0000 2.5556 2.4669
In 0.0000 0.0000 4.9124
Ag 1.8319 0.0000 2.6357


Entry 3:
10
Lattice="4.6193 0.0000 0.0000 0.0000 4.6193 0.0000 0.0000 0.0000 12.0939" Properties=species:S:1:pos:R:3 comment="La2Sn3Au5, relaxed, DFT PBE" spacegroup=P-4m2 e_form_mev_per_atom=-451 magnetic_moment_mub_per_atom=0.000 pbc="T T T"
La 0.0000 2.3097 2.3248
La 2.3097 0.0000 9.7690
Sn 0.0000 2.3097 7.8211
Sn 2.3097 0.0000 4.2727
Sn 2.3097 2.3097 6.0469
Au 0.0000 0.0000 0.0000
Au 0.0000 0.0000 6.0469
Au 0.0000 2.3097 10.4588
Au 2.3097 0.0000 1.6351
Au 2.3097 2.3097 0.0000


Entry 4:
4
Lattice="0.0000 3.1656 3.1656 3.1656 0.0000 3.1656 3.1656 3.1656 0.0000" Properties=species:S:1:pos:R:3 comment="HfZrMnCo, relaxed, DFT PBE" spacegroup=F-43m e_form_mev_per_atom=-234 magnetic_moment_mub_per_atom=0.064 pbc="T T T"
Hf 0.0000 0.0000 0.0000
Zr 3.1656 3.1656 3.1656
Mn 4.7484 4.7484 4.7484
Co 1.5828 1.5828 1.5828